Compound: HfNi6Sb
Source: the Alexandria database
Functional: GGA-PBE
Structure: optimized geometry

Fermi-level density of states in states/eV/f.u.: 2.517
Formation energy from raw total energies in eV/atom: -0.3343
E in eV per atom: -6.430

Geometry as CIF:
```
data_HfNi6Sb
_symmetry_space_group_name_H-M 'P 4/m m m'
_symmetry_Int_Tables_number 123
_symmetry_space_group_name_Hall '-P 4 2'
_cell_length_a 3.739
_cell_length_b 3.739
_cell_length_c 7.421
_cell_angle_alpha 90.00
_cell_angle_beta 90.00
_cell_angle_gamma 90.00
loop_
_atom_site_label
_atom_site_type_symbol
_atom_site_fract_x
_atom_site_fract_y
_atom_site_fract_z
_atom_site_occupancy
Hf1 Hf 0.000 0.000 0.000 1
Ni1 Ni 0.000 0.500 0.250 1
Ni2 Ni 0.500 0.500 0.000 1
Ni3 Ni 0.500 0.500 0.500 1
Sb1 Sb 0.000 0.000 0.500 1
```